[1]
DFT (PBEsol) results for an optimized crystal structure of Sb2TeCl.

As for the symmetry: Immm.

```
data_Sb2TeCl
_chemical_formula_sum 'Sb2 Te1 Cl1'
_symmetry_space_group_name_H-M 'P 1'
_symmetry_Int_Tables_number 1
_cell_length_a 3.689
_cell_length_b 5.874
_cell_length_c 5.874
_cell_angle_alpha 61.04
_cell_angle_beta 71.70
_cell_angle_gamma 71.70
loop_
_symmetry_equiv_pos_as_xyz
'x,y,z'
loop_
_atom_site_label
_atom_site_fract_x
_atom_site_fract_y
_atom_site_fract_z
Cl1 0.000 0.500 0.500
Sb1 0.750 0.250 0.250
Sb2 0.250 0.750 0.750
Te1 0.500 0.000 0.000
```

[2]
DFT (PBEsol) results for an optimized crystal structure of Si2HgW.

As for the symmetry: I-42d.

```
data_Si2HgW
_chemical_formula_sum 'Si4 Hg2 W2'
_symmetry_space_group_name_H-M 'P 1'
_symmetry_Int_Tables_number 1
_cell_length_a 6.056
_cell_length_b 6.574
_cell_length_c 6.056
_cell_angle_alpha 62.58
_cell_angle_beta 90.00
_cell_angle_gamma 117.42
loop_
_symmetry_equiv_pos_as_xyz
'x,y,z'
loop_
_atom_site_label
_atom_site_fract_x
_atom_site_fract_y
_atom_site_fract_z
Hg1 0.750 0.500 0.750
Si1 0.599 0.750 0.375
Si2 0.875 0.250 0.599
Hg2 0.000 0.000 0.000
W1 0.250 0.500 0.250
Si3 0.375 0.250 0.151
W2 0.500 0.000 0.500
Si4 0.151 0.750 0.875
```

The evaluated formation energy without anion corrections for the records listed, in turn: 0.1, 3.9 eV per formula unit.